*one*
The following is a GGA-PBE calculation of SbMoIN2 after structural relaxation, from the Alexandria database.

Unit cell a=4.096 b=4.096 c=7.049 alpha=90.00 beta=90.00 gamma=90.00
Positions (direct):
Sb 0.000 0.000 0.000
Mo 0.500 0.500 0.500
I 0.000 0.000 0.500
N 0.000 0.500 0.000
N 0.500 0.000 0.000

=====

*two*
The following is a GGA-PBE calculation of SbMoIN2 after structural relaxation, from the Alexandria database.

Unit cell a=4.119 b=4.119 c=5.609 alpha=90.00 beta=90.00 gamma=90.00
Positions (direct):
Sb 0.000 0.000 0.000
Mo 0.500 0.500 0.500
I 0.500 0.500 0.000
N 0.000 0.500 0.500
N 0.500 0.000 0.500

=====

Out of the structures above, which one is the most stable? Solution: *two*.